Record 1
Below is crystalline SmCl at its relaxed geometry, with properties calculated at the GGA-PBE level.

Geometry as POSCAR:
```
SmCl
1.0
3.5464 0.0000 0.0000
-1.7732 3.0712 0.0000
0.0000 0.0000 4.3777
Sm Cl
1 1
direct
0.0000 0.0000 0.0000
0.3333 0.6667 0.5000
```

=====

Record 2
Co3Ni2 GGA-PBE optimized geometry; E_form = 0.07 eV/atom
1.0
8.5452 0.0000 0.0000
0.0000 8.5452 0.0000
0.0000 0.0000 4.4906
Co Ni
18 12
direct
0.0000 0.0000 0.0000
0.0374 0.3684 0.5000
0.0656 0.2636 0.0000
0.1316 0.5374 0.0000
0.2364 0.5656 0.5000
0.2636 0.0656 0.0000
0.3684 0.0374 0.5000
0.4344 0.7636 0.5000
0.4626 0.8684 0.0000
0.5000 0.5000 0.5000
0.5374 0.1316 0.0000
0.5656 0.2364 0.5000
0.6316 0.9626 0.5000
0.7364 0.9344 0.0000
0.7636 0.4344 0.5000
0.8684 0.4626 0.0000
0.9344 0.7364 0.0000
0.9626 0.6316 0.5000
0.0992 0.0992 0.5000
0.1829 0.8171 0.2502
0.1829 0.8171 0.7498
0.3171 0.3171 0.2498
0.3171 0.3171 0.7502
0.4008 0.5992 0.0000
0.5992 0.4008 0.0000
0.6829 0.6829 0.2498
0.6829 0.6829 0.7502
0.8171 0.1829 0.2502
0.8171 0.1829 0.7498
0.9008 0.9008 0.5000

=====

Record 3
Below is crystalline Tb2SnC4 at its relaxed geometry, with properties calculated at the GGA-PBE level.

Geometry as POSCAR:
```
Tb2SnC4
1.0
-4.5721 4.7693 2.6608
4.5721 -4.7693 2.6608
4.5721 4.7693 -2.6608
Tb Sn C
4 2 8
direct
0.1439 0.1507 0.2945
0.3561 0.6507 0.0068
0.6439 0.3493 0.9932
0.8561 0.8493 0.7055
0.2500 0.7500 0.5000
0.7500 0.2500 0.5000
0.1157 0.7511 0.8667
0.1304 0.8938 0.0242
0.3696 0.3938 0.7633
0.3843 0.2511 0.6354
0.6157 0.7489 0.3646
0.6304 0.6062 0.2367
0.8696 0.1062 0.9758
0.8843 0.2489 0.1333
```

=====

| no. | total DFT energy (no corrections) (eV per atom) | total magnetic moment (Bohr magnetons per cell) |
| --- | --- | --- |
| 1 | -4.628 | 0.00 |
| 2 | -6.418 | 37.28 |
| 3 | -7.080 | 0.01 |